Entry 1:
# Mg3BeSn

A relaxed Mg3BeSn crystal (PBE-GGA, Alexandria via LeMat-Bulk).

CIF file:
```
data_Mg3BeSn
_cell_length_a 5.344
_cell_length_b 5.344
_cell_length_c 5.344
_cell_angle_alpha 90.00
_cell_angle_beta 90.00
_cell_angle_gamma 90.00
_symmetry_space_group_name_H-M 'P m -3 m'
_symmetry_Int_Tables_number 221
_symmetry_space_group_name_Hall '-P 4 2 3'
loop_
_atom_site_label
_atom_site_type_symbol
_atom_site_fract_x
_atom_site_fract_y
_atom_site_fract_z
Mg1 Mg 0.000 0.000 0.500
Be1 Be 0.500 0.500 0.500
Sn1 Sn 0.000 0.000 0.000
```

Summary:
N(E_F) in states/eV per atom: 0.6835

***

Entry 2:
# MgBeSn2

A relaxed MgBeSn2 crystal (PBE-GGA, Alexandria via LeMat-Bulk).

CIF file:
```
data_MgBeSn2
_cell_length_a 6.988
_cell_length_b 6.988
_cell_length_c 6.988
_cell_angle_alpha 90.00
_cell_angle_beta 90.00
_cell_angle_gamma 90.00
_symmetry_space_group_name_H-M 'F m -3 m'
_symmetry_Int_Tables_number 225
_symmetry_space_group_name_Hall '-F 4 2 3'
loop_
_atom_site_label
_atom_site_type_symbol
_atom_site_fract_x
_atom_site_fract_y
_atom_site_fract_z
Mg1 Mg 0.000 0.000 0.000
Be1 Be 0.000 0.000 0.500
Sn1 Sn 0.250 0.250 0.250
```

Summary:
N(E_F) in states/eV per atom: 0.6396

***

Entry 3:
# Mg2BeSn

A relaxed Mg2BeSn crystal (PBE-GGA, Alexandria via LeMat-Bulk).

CIF file:
```
data_Mg2BeSn
_cell_length_a 3.1434
_cell_length_b 3.1434
_cell_length_c 31.5551
_cell_angle_alpha 90.00
_cell_angle_beta 90.00
_cell_angle_gamma 120.00
_symmetry_space_group_name_H-M 'R -3 m'
_symmetry_Int_Tables_number 166
_symmetry_space_group_name_Hall '-R 3 2"'
loop_
_atom_site_label
_atom_site_type_symbol
_atom_site_fract_x
_atom_site_fract_y
_atom_site_fract_z
Mg1 Mg 0.0000 0.0000 0.0822
Be1 Be 0.0000 0.0000 0.0000
Sn1 Sn 0.0000 0.0000 0.5000
```

Summary:
N(E_F) in states/eV per atom: 0.4871

***

Entry 4:
# MgBeSn3

A relaxed MgBeSn3 crystal (PBE-GGA, Alexandria via LeMat-Bulk).

CIF file:
```
data_MgBeSn3
_cell_length_a 4.994
_cell_length_b 4.994
_cell_length_c 4.994
_cell_angle_alpha 90.00
_cell_angle_beta 90.00
_cell_angle_gamma 90.00
_symmetry_space_group_name_H-M 'P m -3 m'
_symmetry_Int_Tables_number 221
_symmetry_space_group_name_Hall '-P 4 2 3'
loop_
_atom_site_label
_atom_site_type_symbol
_atom_site_fract_x
_atom_site_fract_y
_atom_site_fract_z
Mg1 Mg 0.000 0.000 0.000
Be1 Be 0.500 0.500 0.500
Sn1 Sn 0.000 0.500 0.500
```

Summary:
N(E_F) in states/eV per atom: 0.3700

***

Entry 5:
# MgBeSn3

A relaxed MgBeSn3 crystal (PBE-GGA, Alexandria via LeMat-Bulk).

CIF file:
```
data_MgBeSn3
_cell_length_a 5.369
_cell_length_b 5.369
_cell_length_c 5.369
_cell_angle_alpha 90.00
_cell_angle_beta 90.00
_cell_angle_gamma 90.00
_symmetry_space_group_name_H-M 'P m -3 m'
_symmetry_Int_Tables_number 221
_symmetry_space_group_name_Hall '-P 4 2 3'
loop_
_atom_site_label
_atom_site_type_symbol
_atom_site_fract_x
_atom_site_fract_y
_atom_site_fract_z
Mg1 Mg 0.000 0.000 0.000
Be1 Be 0.500 0.500 0.500
Sn1 Sn 0.000 0.000 0.500
```

Summary:
N(E_F) in states/eV per atom: 0.2614

***

Entry 6:
# Mg2BeSn

A relaxed Mg2BeSn crystal (PBE-GGA, Alexandria via LeMat-Bulk).

CIF file:
```
data_Mg2BeSn
_cell_length_a 4.219
_cell_length_b 4.219
_cell_length_c 19.111
_cell_angle_alpha 90.00
_cell_angle_beta 90.00
_cell_angle_gamma 90.00
_symmetry_space_group_name_H-M 'I -4 2 d'
_symmetry_Int_Tables_number 122
_symmetry_space_group_name_Hall 'I -4 2bw'
loop_
_atom_site_label
_atom_site_type_symbol
_atom_site_fract_x
_atom_site_fract_y
_atom_site_fract_z
Mg1 Mg 0.227 0.250 0.125
Be1 Be 0.000 0.000 0.000
Sn1 Sn 0.000 0.000 0.500
```

Summary:
N(E_F) in states/eV per atom: 0.3814

***

Number 1: E_form 0.810 eV per atom, total magnetization 0.000 Bohr magnetons per cell, ΔE to the lowest computed polymorph 13.077 kcal/mol of atoms. Number 2: E_form 0.343 eV per atom, total magnetization 0.000 Bohr magnetons per cell, ΔE to the lowest computed polymorph 2.730 kcal/mol of atoms. Number 3: E_form 0.545 eV per atom, total magnetization 0.000 Bohr magnetons per cell, ΔE to the lowest computed polymorph 6.552 kcal/mol of atoms. Number 4: E_form 0.312 eV per atom, total magnetization 0.000 Bohr magnetons per cell, ΔE to the lowest computed polymorph 0.000 kcal/mol of atoms. Number 5: E_form 0.968 eV per atom, total magnetization 0.000 Bohr magnetons per cell, ΔE to the lowest computed polymorph 15.123 kcal/mol of atoms. Number 6: E_form 0.373 eV per atom, total magnetization 0.000 Bohr magnetons per cell, ΔE to the lowest computed polymorph 2.573 kcal/mol of atoms.